Here is crystalline As2SeBr at its relaxed geometry from Alexandria via LeMat-Bulk. Energies are from PBE.

## Properties
The calculation puts the polymorph energy (0 for the lowest one) at 0.228 eV per atom. As for the volume: 94 Å³ per cell. The formation energy without anion corrections comes out at 185.6 meV/atom.

a b c (Å): 7.5349 7.5349 7.5349
angles (deg): 29.86 29.86 29.86
Sites, in units of the cell vectors:
As 0.9937 0.9937 0.9937
As 0.2641 0.2641 0.2641
Se 0.7349 0.7349 0.7349
Br 0.5073 0.5073 0.5073

Here is crystalline CsSnHg at its relaxed geometry from Alexandria via LeMat-Bulk. Energies are from PBE.

## Properties
The calculation puts the polymorph energy (0 for the lowest one) at 0.088 eV per atom. As for the volume: 130 Å³ per cell. For the formation energy, the calculation gives -0.16 eV per atom.

a b c (Å): 6.0585 4.9811 4.9811
angles (deg): 120.00 90.00 90.00
Last column: magnetic moment on the atom in μB.
Sites, in units of the cell vectors:
Cs 0.6665 0.6667 0.3333  0.02
Hg 0.1664 0.3333 0.6667  0.02
Sn 0.1670 0.0000 0.0000  0.17

Here is crystalline NbGa2Fe at its relaxed geometry from Alexandria via LeMat-Bulk. Energies are from PBE.

## Properties
As for the volume: 57 Å³ per cell. For the formation energy, the calculation gives -0.14 eV per atom.

a b c (Å): 2.9180 2.9180 6.7395
angles (deg): 90.00 90.00 90.00
Last column: magnetic moment on the atom in μB.
Sites, in units of the cell vectors:
Nb 0.5000 0.5000 0.5000  0.07
Fe 0.5000 0.5000 0.0000  0.69
Ga 0.0000 0.0000 0.7908  -0.02
Ga 0.0000 0.0000 0.2092  -0.02

Here is crystalline SbPAu at its relaxed geometry from Alexandria via LeMat-Bulk. Energies are from PBE.

## Properties
The calculation puts the polymorph energy (0 for the lowest one) at 0.086 eV per atom. As for the volume: 127 Å³ per cell. The formation energy without anion corrections comes out at 164.2 meV/atom.

a b c (Å): 3.7648 3.7648 10.3533
angles (deg): 90.00 90.00 120.00
Sites, in units of the cell vectors:
Sb 0.0000 0.0000 0.2668
Sb 0.0000 0.0000 0.7668
P 0.3333 0.6667 0.4270
P 0.6667 0.3333 0.9270
Au 0.3333 0.6667 0.0756
Au 0.6667 0.3333 0.5756

Here is crystalline AlNiW at its relaxed geometry from Alexandria via LeMat-Bulk. Energies are from PBE.

## Properties
The calculation puts the polymorph energy (0 for the lowest one) at 0.000 eV per atom. As for the volume: 168 Å³ per cell. For the formation energy, the calculation gives -0.21 eV per atom.

a b c (Å): 4.6121 4.6986 9.2007
angles (deg): 82.93 75.48 60.61
Sites, in units of the cell vectors:
Al 0.1720 0.5000 0.6559
Al 0.3280 0.5000 0.3441
Al 0.5780 0.0000 0.8441
Al 0.4220 0.0000 0.1559
Ni 0.6254 0.5000 0.7492
Ni 0.8746 0.5000 0.2508
Ni 0.1246 0.0000 0.7508
Ni 0.8754 0.0000 0.2492
W 0.9170 0.1660 0.5000
W 0.5830 0.8340 0.5000
W 0.8330 0.3340 0.0000
W 0.1670 0.6660 0.0000